Entry 1:
Below is a geometry-optimized LaThZnRu structure, with properties calculated at the GGA-PBE level.

## Properties
- ΔH_f (0 K) (meV per atom) = -234
- electronic total energy (Ry per atom) = -0.4379
- crystal system = cubic

Lattice parameters (Å, degrees): 5.1278 5.1278 5.1278 60.00 60.00 60.00
Atoms (fractional coordinates):
1 La 0.0000 0.0000 0.0000
2 Zn 0.2500 0.2500 0.2500
3 Ru 0.7500 0.7500 0.7500
4 Th 0.5000 0.5000 0.5000



Entry 2:
Below is a geometry-optimized LiCr2Tc structure, with properties calculated at the GGA-PBE level.

## Properties
- ΔH_f (0 K) (meV per atom) = 408
- electronic total energy (Ry per atom) = -0.5493
- crystal system = monoclinic

Lattice parameters (Å, degrees): 4.4078 4.4078 4.9529 87.95 87.95 31.93
Site moments in Bohr magnetons follow the coordinates.
Atoms (fractional coordinates):
1 Tc 0.2489 0.2489 0.2554  0.07
2 Cr 0.7482 0.7482 0.7461  0.53
3 Cr 0.0035 0.0035 0.9955  -0.28
4 Li 0.4995 0.4995 0.5030  0.00



Entry 3:
Below is a geometry-optimized AlAuF3 structure, with properties calculated at the GGA-PBE level.

## Properties
- offset from the most stable computed form (eV/f.u.) = 5.09
- electronic total energy (Ry per atom) = -0.2502
- crystal system = cubic

Lattice parameters (Å, degrees): 4.4601 4.4601 4.4601 90.00 90.00 90.00
Atoms (fractional coordinates):
1 Au 0.0000 0.0000 0.0000
2 F 0.0000 0.5000 0.0000
3 F 0.5000 0.0000 0.0000
4 Al 0.5000 0.5000 0.5000
5 F 0.0000 0.0000 0.5000



Entry 4:
Below is a geometry-optimized YErCdIr structure, with properties calculated at the GGA-PBE level.

## Properties
- ΔH_f (0 K) (meV per atom) = -566
- electronic total energy (Ry per atom) = -0.4239
- crystal system = cubic

Lattice parameters (Å, degrees): 5.0189 5.0189 5.0189 60.00 60.00 60.00
Atoms (fractional coordinates):
1 Er 0.2500 0.2500 0.2500
2 Ir 0.5000 0.5000 0.5000
3 Cd 0.0000 0.0000 0.0000
4 Y 0.7500 0.7500 0.7500



Entry 5:
Below is a geometry-optimized Th8Ga2Tc structure, with properties calculated at the GGA-PBE level.

## Properties
- ΔH_f (0 K) (meV per atom) = -139
- electronic total energy (Ry per atom) = -0.5166
- crystal system = monoclinic

Lattice parameters (Å, degrees): 4.6033 7.7104 9.3232 96.51 104.29 90.00
Atoms (fractional coordinates):
1 Th 0.3465 0.9858 0.6930
2 Ga 0.1796 0.7480 0.3593
3 Th 0.7867 0.6535 0.5735
4 Tc 0.5000 0.0000 0.0000
5 Th 0.4038 0.4924 0.8077
6 Th 0.2133 0.3465 0.4265
7 Th 0.5962 0.5076 0.1923
8 Th 0.6535 0.0142 0.3070
9 Ga 0.8204 0.2520 0.6407
10 Th 0.0009 0.2301 0.0018
11 Th 0.9991 0.7699 0.9982



Entry 6:
Below is a geometry-optimized Al3C structure, with properties calculated at the GGA-PBE level.

## Properties
- offset from the most stable computed form (eV/f.u.) = 3.78
- ΔH_f (0 K) (meV per atom) = 969
- electronic total energy (Ry per atom) = -0.3046
- crystal system = orthorhombic

Lattice parameters (Å, degrees): 4.2050 4.2050 3.2536 90.00 90.00 107.08
Atoms (fractional coordinates):
1 C 0.0000 0.0000 0.0000
2 Al 0.0000 0.5000 0.5000
3 Al 0.5000 0.0000 0.5000
4 Al 0.5000 0.5000 0.0000



Entry 7:
Below is a geometry-optimized Mo2Os3Ru2 structure, with properties calculated at the GGA-PBE level.

## Properties
- ΔH_f (0 K) (meV per atom) = 95
- electronic total energy (Ry per atom) = -0.7690
- crystal system = monoclinic

Lattice parameters (Å, degrees): 3.8720 6.1618 4.7625 82.34 114.03 90.04
Atoms (fractional coordinates):
1 Mo 0.8581 0.4222 0.7163
2 Ru 0.5692 0.2822 0.1379
3 Os 0.2830 0.1384 0.5663
4 Mo 0.1419 0.5778 0.2837
5 Os 0.7170 0.8616 0.4337
6 Os 0.0000 0.0000 0.0000
7 Ru 0.4308 0.7178 0.8621



Entry 8:
Below is a geometry-optimized Tl2SnGeSe5 structure, with properties calculated at the GGA-PBE level.

## Properties
- electronic total energy (Ry per atom) = -0.2751
- crystal system = orthorhombic

Lattice parameters (Å, degrees): 3.9532 9.9398 13.7532 90.00 90.00 101.47
Atoms (fractional coordinates):
1 Ge 0.5591 0.1182 0.9252
2 Se 0.9580 0.9160 0.5317
3 Se 0.6977 0.3954 0.1610
4 Tl 0.1254 0.2507 0.6775
5 Se 0.6825 0.3651 0.8896
6 Se 0.5009 0.0018 0.2799
7 Tl 0.8746 0.7493 0.1775
8 Se 0.3023 0.6046 0.6610
9 Se 0.6528 0.3055 0.5021
10 Tl 0.1254 0.2509 0.3254
11 Se 0.0420 0.0840 0.0317
12 Tl 0.8746 0.7491 0.8254
13 Sn 0.7834 0.5668 0.5315
14 Ge 0.4409 0.8818 0.4252
15 Se 0.3175 0.6349 0.3896
16 Se 0.3472 0.6945 0.0021
17 Sn 0.2166 0.4332 0.0315
18 Se 0.4991 0.9982 0.7799



Entry 9:
Below is a geometry-optimized Eu2ZnIn structure, with properties calculated at the GGA-PBE level.

## Properties
- ΔH_f (0 K) (meV per atom) = -360
- electronic total energy (Ry per atom) = -0.4778
- crystal system = tetragonal

Lattice parameters (Å, degrees): 3.8140 3.8140 7.8820 90.00 90.00 90.00
Site moments in Bohr magnetons follow the coordinates.
Atoms (fractional coordinates):
1 Eu 0.0000 0.0000 0.7648  6.83
2 Zn 0.5000 0.5000 0.0000  0.00
3 Eu 0.0000 0.0000 0.2352  6.83
4 In 0.5000 0.5000 0.5000  -0.02



Entry 10:
Below is a geometry-optimized Ba4CaCu structure, with properties calculated at the GGA-PBE level.

## Properties
- ΔH_f (0 K) (meV per atom) = 573
- electronic total energy (Ry per atom) = -0.1268
- crystal system = cubic

Lattice parameters (Å, degrees): 7.6654 7.6654 7.6654 60.00 60.00 60.00
Site moments in Bohr magnetons follow the coordinates.
Atoms (fractional coordinates):
1 Ba 0.3747 0.3747 0.8760  0.12
2 Ca 0.7500 0.7500 0.7500  0.05
3 Ba 0.8760 0.3747 0.3747  0.12
4 Ba 0.3747 0.3747 0.3747  0.12
5 Ba 0.3747 0.8760 0.3747  0.12
6 Cu 0.0000 0.0000 0.0000  0.01



Entry 11:
Below is a geometry-optimized Hf3N structure, with properties calculated at the GGA-PBE level.

## Properties
- offset from the most stable computed form (eV/f.u.) = 1.94
- electronic total energy (Ry per atom) = -0.7373
- crystal system = orthorhombic

Lattice parameters (Å, degrees): 3.0199 5.3399 5.3074 120.20 106.53 90.00
Atoms (fractional coordinates):
1 Hf 0.5000 0.3707 0.0000
2 N 0.0000 0.0658 0.0000
3 Hf 0.3290 0.6941 0.6579
4 Hf 0.6710 0.0361 0.3421



Entry 12:
Below is a geometry-optimized Ba3Cd9Ag2 structure, with properties calculated at the GGA-PBE level.

## Properties
- ΔH_f (0 K) (meV per atom) = -260
- electronic total energy (Ry per atom) = -0.1226
- crystal system = orthorhombic

Lattice parameters (Å, degrees): 5.0269 9.4346 9.4346 68.50 74.55 74.55
Atoms (fractional coordinates):
1 Cd 0.3313 0.3132 0.0243
2 Ag 0.5000 0.7128 0.2872
3 Cd 0.0000 0.5000 0.5000
4 Cd 0.1242 0.5903 0.1613
5 Ba 0.0000 0.0000 0.0000
6 Cd 0.8758 0.4097 0.8387
7 Ba 0.6933 0.3067 0.3067
8 Cd 0.6687 0.6868 0.9757
9 Cd 0.8758 0.8387 0.4097
10 Cd 0.3313 0.0243 0.3132
11 Cd 0.6687 0.9757 0.6868
12 Ba 0.3067 0.6933 0.6933
13 Cd 0.1242 0.1613 0.5903
14 Ag 0.5000 0.2872 0.7128